No. 1
TaOsW2 | PBE-GGA | optimized geometry

space group: No. 6
energy relative to the elements: 0.002 eV per atom
energy above the most stable polymorph in this dataset: 59 meV/atom

abc: 4.4616 2.7966 5.2631
angles: 79.63 90.00 90.00
Closest atoms and distances in Å follow each position.
Positions (direct):
W (0.0000, 0.0035, 0.0067)  4 W 2.69-2.80, 2 Os 2.73-2.76, 2 Ta 2.77
W (0.5000, 0.2351, 0.2437)  4 W 2.69-2.80, 2 Ta 2.74-2.76, 2 Os 2.79
Ta (0.5000, 0.7556, 0.7458)  2 Os 2.72, 4 W 2.74-2.77, 2 Ta 2.80
Os (0.0000, 0.5059, 0.5038)  2 Ta 2.72, 4 W 2.73-2.79, 2 Os 2.80

No. 2
Cs2NaBrF6 | PBE-GGA | optimized geometry

space group: No. 139
raw formation energy: -2.049 eV/atom
energy above the most stable polymorph in this dataset: 0 meV/atom

abc: 6.0813 6.0813 7.0355
angles: 64.37 64.37 90.00
Closest atoms and distances in Å follow each position.
Positions (direct):
Cs (0.7500, 0.2500, 0.5000)  4 F 3.09
Cs (0.2500, 0.7500, 0.5000)  4 F 3.09
F (0.2009, 0.2009, 0.5981)  1 Na 2.24
F (0.2756, 0.7247, 0.0000)  1 Br 1.93
F (0.7991, 0.7991, 0.4019)  1 Na 2.24
F (0.2755, 0.2758, 0.9996)  1 Br 1.93
F (0.7245, 0.7242, 0.0004)  1 Br 1.93
F (0.7244, 0.2753, 0.0000)  1 Br 1.93
Na (0.0000, 0.0000, 0.0000)  6 F 2.24-2.37
Br (0.5000, 0.5000, 0.0000)  4 F 1.93

No. 3
PrSmZnGe | PBE-GGA | optimized geometry

space group: No. 38
energy relative to the elements: -0.583 eV per atom
energy above the most stable polymorph in this dataset: 0 meV/atom

abc: 4.3355 4.1824 6.0516
angles: 90.00 110.99 90.00
Closest atoms and distances in Å follow each position.
Positions (direct):
Ge (0.4260, 0.0000, 0.8520)  2 Zn 2.64
Pr (0.1447, 0.0000, 0.2894)  4 Zn 3.13, 3 Ge 3.18-3.29
Zn (0.5687, 0.5000, 0.1374)  2 Ge 2.64
Sm (0.8606, 0.5000, 0.7212)  4 Ge 3.10, 3 Zn 3.20-3.30